! Ba2MgTl7 (GGA-PBE, relaxed); values from VASP
! DOS at the Fermi energy   4.55 states/eV per cell
! Total magnetic moment   0.00 μB per formula unit
! Energy of formation   -0.218 eV/atom
! ρ   8539 kg/m³
&SYSTEM
  ibrav = 0, nat = 10, ntyp = 3
/
ATOMIC_SPECIES
Ba 137.33 Ba.upf
Mg 24.30 Mg.upf
Tl 204.38 Tl.upf
CELL_PARAMETERS angstrom
5.049 0.000 0.000
0.000 5.049 0.000
0.000 0.000 13.192
ATOMIC_POSITIONS crystal
Ba 0.000 0.500 0.246
Ba 0.500 0.000 0.754
Mg 0.500 0.500 0.000
Tl 0.000 0.000 0.000
Tl 0.000 0.000 0.500
Tl 0.000 0.500 0.642
Tl 0.000 0.500 0.868
Tl 0.500 0.000 0.132
Tl 0.500 0.000 0.358
Tl 0.500 0.500 0.500

---

! Ba2MgTl2 (GGA-PBE, relaxed); values from VASP
! DOS at the Fermi energy   6.53 states/eV per cell
! Total magnetic moment   0.00 μB per formula unit
! E above lowest polymorph   1.18 eV per formula unit
! Energy of formation   -0.073 eV/atom
! ρ   5849 kg/m³
&SYSTEM
  ibrav = 0, nat = 10, ntyp = 3
/
ATOMIC_SPECIES
Ba 137.33 Ba.upf
Mg 24.30 Mg.upf
Tl 204.38 Tl.upf
CELL_PARAMETERS angstrom
10.054 0.000 0.000
0.000 10.054 0.000
0.000 0.000 3.975
ATOMIC_POSITIONS crystal
Ba 0.176 0.324 0.000
Ba 0.324 0.824 0.000
Ba 0.676 0.176 0.000
Ba 0.824 0.676 0.000
Mg 0.000 0.000 0.000
Mg 0.500 0.500 0.000
Tl 0.121 0.621 0.500
Tl 0.379 0.121 0.500
Tl 0.621 0.879 0.500
Tl 0.879 0.379 0.500

---

! BaMg4Tl4 (GGA-PBE, relaxed); values from VASP
! DOS at the Fermi energy   6.90 states/eV per cell
! Total magnetic moment   0.00 μB per formula unit
! Energy of formation   -0.128 eV/atom
! ρ   6729 kg/m³
&SYSTEM
  ibrav = 0, nat = 18, ntyp = 3
/
ATOMIC_SPECIES
Ba 137.33 Ba.upf
Mg 24.30 Mg.upf
Tl 204.38 Tl.upf
CELL_PARAMETERS angstrom
7.173 0.000 0.000
0.000 7.173 0.000
0.000 0.000 10.093
ATOMIC_POSITIONS crystal
Ba 0.250 0.750 0.250
Ba 0.750 0.250 0.750
Mg 0.023 0.250 0.155
Mg 0.250 0.023 0.655
Mg 0.250 0.477 0.655
Mg 0.477 0.250 0.155
Mg 0.523 0.750 0.845
Mg 0.750 0.523 0.345
Mg 0.750 0.977 0.345
Mg 0.977 0.750 0.845
Tl 0.032 0.250 0.447
Tl 0.250 0.032 0.947
Tl 0.250 0.468 0.947
Tl 0.468 0.250 0.447
Tl 0.532 0.750 0.553
Tl 0.750 0.532 0.053
Tl 0.750 0.968 0.053
Tl 0.968 0.750 0.553

---

! Ba2MgTl (GGA-PBE, relaxed); values from VASP
! DOS at the Fermi energy   19.34 states/eV per cell
! Total magnetic moment   0.00 μB per formula unit
! Energy of formation   -0.240 eV/atom
! ρ   5214 kg/m³
&SYSTEM
  ibrav = 0, nat = 16, ntyp = 3
/
ATOMIC_SPECIES
Ba 137.33 Ba.upf
Mg 24.30 Mg.upf
Tl 204.38 Tl.upf
CELL_PARAMETERS angstrom
8.623 0.000 0.000
0.000 8.623 0.000
0.000 0.000 8.623
ATOMIC_POSITIONS crystal
Ba 0.250 0.250 0.250
Ba 0.250 0.250 0.750
Ba 0.250 0.750 0.250
Ba 0.250 0.750 0.750
Ba 0.750 0.250 0.250
Ba 0.750 0.250 0.750
Ba 0.750 0.750 0.250
Ba 0.750 0.750 0.750
Mg 0.000 0.000 0.000
Mg 0.000 0.500 0.500
Mg 0.500 0.000 0.500
Mg 0.500 0.500 0.000
Tl 0.000 0.000 0.500
Tl 0.000 0.500 0.000
Tl 0.500 0.000 0.000
Tl 0.500 0.500 0.500